Below is an optimized crystal structure of NaCa2Pb2, with properties calculated at the PBE level.

Cell: 8.430 8.430 4.543 Å, 90.00 90.00 90.00°
Atoms (fractional coordinates):
Ca 0.334 0.166 0.500
Ca 0.834 0.334 0.500
Pb 0.369 0.869 0.000
Ca 0.666 0.834 0.500
Pb 0.131 0.369 0.000
Pb 0.869 0.631 0.000
Pb 0.631 0.131 0.000
Na 0.500 0.500 0.000
Na 0.000 0.000 0.000
Ca 0.166 0.666 0.500

## Properties
Space-group type ... P4/mbm (127)
Calculated density ... 5.32 g/cm³
Electronic total energy ... -29.51 eV for the cell shown
Energy of formation ... -2.02 eV per formula unit